VMoF3 after structural relaxation. Source: Alexandria via LeMat-Bulk, functional GGA+U.

- volume (Å³/atom) = 15.0
- energy relative to the lowest polymorph listed for this composition (meV/atom) = 0
- space group = Pm-3m (221)

The structure in extended XYZ format:
```
5
Lattice="4.213 0.000 0.000 0.000 4.213 0.000 0.000 0.000 4.213" Properties=species:S:1:pos:R:3 pbc="T T T"
V 0.000 0.000 0.000
F 0.000 0.000 2.107
F 0.000 2.107 0.000
Mo 2.107 2.107 2.107
F 2.107 0.000 0.000
```